# AsSeCl2

A relaxed structure of AsSeCl2 (PBE, Alexandria).

Cell: 3.4826 10.0744 8.7820 Å, 90.00 90.00 90.00°
Space group Cmm2 (No. 35)
One atom of each set of equivalent atoms:
1 As 0.0000 0.0000 0.0000 x2
2 Se 0.0000 0.5000 0.1915 x2
3 Cl 0.0000 0.0000 0.4330 x2
4 Cl 0.0000 0.5000 0.7777 x2

Calculated values
- relative energy among the computed polymorphs (meV per atom) = 442
- formation energy from raw total energies (eV per formula unit) = 0.5



# Er6ZnHg2

A relaxed structure of Er6ZnHg2 (PBE, Alexandria).

Cell: 4.9929 7.0794 15.0178 Å, 90.00 90.00 90.00°
Space group Immm (No. 71)
One atom of each set of equivalent atoms:
1 Er 0.0000 0.2440 0.0000 x4
2 Er 0.0000 0.2534 0.3359 x8
3 Zn 0.0000 0.5000 0.5000 x2
4 Hg 0.0000 0.5000 0.1668 x4

Calculated values
- ΔE_f (eV/atom) = -0.074



Number 1: Fermi-level density of states 4.25 states/eV/f.u.. Number 2: Fermi-level density of states 8.34 states/eV/f.u..